! Sn3AuC (PBE-GGA, relaxed); values from VASP
&SYSTEM
  ibrav = 0, nat = 5, ntyp = 3
/
ATOMIC_SPECIES
Sn 118.71 Sn.upf
Au 196.97 Au.upf
C 12.01 C.upf
ATOMIC_POSITIONS angstrom
Sn 0.000 0.000 2.368
Sn 0.000 2.368 0.000
Sn 2.368 0.000 0.000
Au 2.368 2.368 2.368
C 0.000 0.000 0.000
CELL_PARAMETERS angstrom
4.736 0.000 0.000
0.000 4.736 0.000
0.000 0.000 4.736
! energy relative to the elements = 0.761 eV per atom
! E above lowest polymorph = 0 meV per atom
! E_tot = -4.14 eV per atom

***

! SnAu2C (PBE-GGA, relaxed); values from VASP
&SYSTEM
  ibrav = 0, nat = 16, ntyp = 3
/
ATOMIC_SPECIES
Sn 118.71 Sn.upf
Au 196.97 Au.upf
C 12.01 C.upf
ATOMIC_POSITIONS angstrom
Sn 0.000 0.000 0.000
Sn 0.000 2.602 3.095
Sn 2.602 0.000 9.286
Sn 2.602 2.602 6.190
Au 0.617 1.301 7.738
Au 1.301 3.219 10.833
Au 1.301 4.588 4.643
Au 1.985 1.301 1.548
Au 3.219 3.903 1.548
Au 3.903 0.617 4.643
Au 3.903 1.985 10.833
Au 4.588 3.903 7.738
C 0.000 0.000 6.190
C 0.000 2.602 9.286
C 2.602 0.000 3.095
C 2.602 2.602 0.000
CELL_PARAMETERS angstrom
5.204 0.000 0.000
0.000 5.204 0.000
0.000 0.000 12.381
! energy relative to the elements = 0.767 eV per atom
! E above lowest polymorph = 0 meV per atom
! E_tot = -4.18 eV per atom

***

! Sn2AuC2 (PBE-GGA, relaxed); values from VASP
&SYSTEM
  ibrav = 0, nat = 10, ntyp = 3
/
ATOMIC_SPECIES
Sn 118.71 Sn.upf
Au 196.97 Au.upf
C 12.01 C.upf
ATOMIC_POSITIONS angstrom
Sn 1.005 2.501 0.000
Sn 2.501 6.007 0.000
Sn 4.511 1.005 0.000
Sn 6.007 4.511 0.000
Au 0.000 0.000 1.776
Au 3.506 3.506 1.776
C 1.633 5.139 1.776
C 1.873 1.633 1.776
C 5.139 5.379 1.776
C 5.379 1.873 1.776
CELL_PARAMETERS angstrom
7.012 0.000 0.000
0.000 7.012 0.000
0.000 0.000 3.552
! energy relative to the elements = 1.435 eV per atom
! E above lowest polymorph = 527 meV per atom
! E_tot = -4.51 eV per atom

***

! Sn2AuC2 (PBE-GGA, relaxed); values from VASP
&SYSTEM
  ibrav = 0, nat = 10, ntyp = 3
/
ATOMIC_SPECIES
Sn 118.71 Sn.upf
Au 196.97 Au.upf
C 12.01 C.upf
ATOMIC_POSITIONS angstrom
Sn 0.000 2.913 1.395
Sn 0.000 2.913 4.185
Sn 2.913 0.000 1.395
Sn 2.913 0.000 4.185
Au 0.000 0.000 0.000
Au 2.913 2.913 2.790
C 0.000 0.000 2.146
C 0.000 0.000 3.434
C 2.913 2.913 0.644
C 2.913 2.913 4.936
CELL_PARAMETERS angstrom
5.826 0.000 0.000
0.000 5.826 0.000
0.000 0.000 5.580
! energy relative to the elements = 0.908 eV per atom
! E above lowest polymorph = 0 meV per atom
! E_tot = -5.04 eV per atom

***

! SnAuC3 (PBE-GGA, relaxed); values from VASP
&SYSTEM
  ibrav = 0, nat = 5, ntyp = 3
/
ATOMIC_SPECIES
Sn 118.71 Sn.upf
Au 196.97 Au.upf
C 12.01 C.upf
ATOMIC_POSITIONS angstrom
Sn 0.000 0.000 0.000
Au 2.151 2.151 2.151
C 0.000 0.000 2.151
C 0.000 2.151 0.000
C 2.151 0.000 0.000
CELL_PARAMETERS angstrom
4.301 0.000 0.000
0.000 4.301 0.000
0.000 0.000 4.301
! energy relative to the elements = 3.060 eV per atom
! E above lowest polymorph = 189 meV per atom
! E_tot = -3.93 eV per atom

***

! SnAu3C (PBE-GGA, relaxed); values from VASP
&SYSTEM
  ibrav = 0, nat = 5, ntyp = 3
/
ATOMIC_SPECIES
Sn 118.71 Sn.upf
Au 196.97 Au.upf
C 12.01 C.upf
ATOMIC_POSITIONS angstrom
Sn 0.000 0.000 0.000
Au 0.000 0.000 2.618
Au 0.000 2.618 0.000
Au 2.618 0.000 0.000
C 2.618 2.618 2.618
CELL_PARAMETERS angstrom
5.236 0.000 0.000
0.000 5.236 0.000
0.000 0.000 5.236
! energy relative to the elements = 1.854 eV per atom
! E above lowest polymorph = 1167 meV per atom
! E_tot = -2.76 eV per atom

***

! YSnAuC2 (PBE-GGA, relaxed); values from VASP
&SYSTEM
  ibrav = 0, nat = 5, ntyp = 4
/
ATOMIC_SPECIES
Y 88.91 Y.upf
Sn 118.71 Sn.upf
Au 196.97 Au.upf
C 12.01 C.upf
ATOMIC_POSITIONS angstrom
Y 0.000 0.000 0.000
Sn 2.103 2.103 0.000
Au 0.000 0.000 2.849
C 0.000 2.103 2.849
C 2.103 0.000 2.849
CELL_PARAMETERS angstrom
4.206 0.000 0.000
0.000 4.206 0.000
0.000 0.000 5.697
! energy relative to the elements = 1.694 eV per atom
! E_tot = -4.74 eV per atom

***

! ZnSn2AuC (PBE-GGA, relaxed); values from VASP
&SYSTEM
  ibrav = 0, nat = 5, ntyp = 4
/
ATOMIC_SPECIES
Zn 65.41 Zn.upf
Sn 118.71 Sn.upf
Au 196.97 Au.upf
C 12.01 C.upf
ATOMIC_POSITIONS angstrom
Zn 0.000 0.000 0.000
Sn 0.000 2.555 2.036
Sn 2.555 0.000 2.036
Au 2.555 2.555 0.000
C 2.555 2.555 2.036
CELL_PARAMETERS angstrom
5.110 0.000 0.000
0.000 5.110 0.000
0.000 0.000 4.073
! energy relative to the elements = 0.779 eV per atom
! E_tot = -3.58 eV per atom

***

! SrAu3C (PBE-GGA, relaxed); values from VASP
&SYSTEM
  ibrav = 0, nat = 5, ntyp = 3
/
ATOMIC_SPECIES
Sr 87.62 Sr.upf
Au 196.97 Au.upf
C 12.01 C.upf
ATOMIC_POSITIONS angstrom
Sr 0.000 0.000 0.000
Au 0.000 2.290 2.290
Au 2.290 0.000 2.290
Au 2.290 2.290 0.000
C 2.290 2.290 2.290
CELL_PARAMETERS angstrom
4.581 0.000 0.000
0.000 4.581 0.000
0.000 0.000 4.581
! energy relative to the elements = 0.258 eV per atom
! E above lowest polymorph = 0 meV per atom
! E_tot = -3.89 eV per atom

***

! SrAu3C (PBE-GGA, relaxed); values from VASP
&SYSTEM
  ibrav = 0, nat = 5, ntyp = 3
/
ATOMIC_SPECIES
Sr 87.62 Sr.upf
Au 196.97 Au.upf
C 12.01 C.upf
ATOMIC_POSITIONS angstrom
Sr 0.000 0.000 0.000
Au 0.000 0.000 2.947
Au 0.000 2.947 0.000
Au 2.947 0.000 0.000
C 2.947 2.947 2.947
CELL_PARAMETERS angstrom
5.893 0.000 0.000
0.000 5.893 0.000
0.000 0.000 5.893
! energy relative to the elements = 2.003 eV per atom
! E above lowest polymorph = 1745 meV per atom
! E_tot = -2.14 eV per atom

***

! Ta3AuC (PBE-GGA, relaxed); values from VASP
&SYSTEM
  ibrav = 0, nat = 5, ntyp = 3
/
ATOMIC_SPECIES
Ta 180.95 Ta.upf
Au 196.97 Au.upf
C 12.01 C.upf
ATOMIC_POSITIONS angstrom
Ta 0.000 0.000 2.145
Ta 0.000 2.145 0.000
Ta 2.145 0.000 0.000
Au 2.145 2.145 2.145
C 0.000 0.000 0.000
CELL_PARAMETERS angstrom
4.289 0.000 0.000
0.000 4.289 0.000
0.000 0.000 4.289
! energy relative to the elements = -0.227 eV per atom
! E above lowest polymorph = 0 meV per atom
! E_tot = -9.84 eV per atom

***

! TaAuC2 (PBE-GGA, relaxed); values from VASP
&SYSTEM
  ibrav = 0, nat = 16, ntyp = 3
/
ATOMIC_SPECIES
Ta 180.95 Ta.upf
Au 196.97 Au.upf
C 12.01 C.upf
ATOMIC_POSITIONS angstrom
Ta 0.000 0.000 0.000
Ta 0.000 2.848 2.848
Ta 2.848 0.000 2.848
Ta 2.848 2.848 0.000
Au 0.000 0.000 2.848
Au 0.000 2.848 0.000
Au 2.848 0.000 0.000
Au 2.848 2.848 2.848
C 1.424 1.424 1.424
C 1.424 1.424 4.272
C 1.424 4.272 1.424
C 1.424 4.272 4.272
C 4.272 1.424 1.424
C 4.272 1.424 4.272
C 4.272 4.272 1.424
C 4.272 4.272 4.272
CELL_PARAMETERS angstrom
5.695 0.000 0.000
0.000 5.695 0.000
0.000 0.000 5.695
! energy relative to the elements = 1.504 eV per atom
! E above lowest polymorph = 629 meV per atom
! E_tot = -6.89 eV per atom